<i>
The following is a PBE-GGA calculation of a relaxed structure of ScCoHgSb, from OQMD.

a = 6.7407 Å, b = 6.7407 Å, c = 6.7407 Å
α = 90.00°, β = 90.00°, γ = 90.00°
With the nearest neighbours (Å) after each atom.
Space group F-43m (No. 216)
One atom of each set of equivalent atoms:
Sc 0.0000 0.0000 0.0000 x4  4 Hg 2.92, 4 Sb 2.92
Co 0.0000 0.0000 0.5000 x4  4 Sb 2.92, 4 Hg 2.92
Hg 0.2500 0.2500 0.7500 x4  4 Co 2.92, 4 Sc 2.92
Sb 0.2500 0.2500 0.2500 x4  4 Sc 2.92, 4 Co 2.92

Computed properties:
Magnetic moment ... 0.002 μB per atom

=====

<ii>
The following is a PBE-GGA calculation of a relaxed structure of ScCoHgSb, from OQMD.

a = 6.7561 Å, b = 6.7561 Å, c = 6.7561 Å
α = 90.00°, β = 90.00°, γ = 90.00°
With the nearest neighbours (Å) after each atom.
Space group F-43m (No. 216)
One atom of each set of equivalent atoms:
Sc 0.0000 0.0000 0.0000 x4  4 Hg 2.93, 4 Co 2.93
Co 0.2500 0.2500 0.7500 x4  4 Sb 2.93, 4 Sc 2.93
Hg 0.2500 0.2500 0.2500 x4  4 Sb 2.93, 4 Sc 2.93
Sb 0.0000 0.0000 0.5000 x4  4 Hg 2.93, 4 Co 2.93

Computed properties:
Magnetic moment ... 0.154 μB per atom

=====

Of them, <ii> has the lowest stability.

=====

<i>
The following is a PBE-GGA calculation of a relaxed structure of CoHgSbW, from OQMD.

a = 6.6159 Å, b = 6.6159 Å, c = 6.6159 Å
α = 90.00°, β = 90.00°, γ = 90.00°
With the nearest neighbours (Å) after each atom.
Space group F-43m (No. 216)
One atom of each set of equivalent atoms:
Co 0.0000 0.0000 0.0000 x4  4 Sb 2.86, 4 W 2.86
Hg 0.0000 0.0000 0.5000 x4  4 W 2.86, 4 Sb 2.86
Sb 0.2500 0.2500 0.7500 x4  4 Hg 2.86, 4 Co 2.86
W 0.2500 0.2500 0.2500 x4  4 Hg 2.86, 4 Co 2.86

Computed properties:
Magnetic moment ... 0.497 μB per atom

=====

<ii>
The following is a PBE-GGA calculation of a relaxed structure of CoHgSbW, from OQMD.

a = 6.5148 Å, b = 6.5148 Å, c = 6.5148 Å
α = 90.00°, β = 90.00°, γ = 90.00°
With the nearest neighbours (Å) after each atom.
Space group F-43m (No. 216)
One atom of each set of equivalent atoms:
Co 0.0000 0.0000 0.0000 x4  4 Hg 2.82, 4 Sb 2.82
Hg 0.2500 0.2500 0.2500 x4  4 W 2.82, 4 Co 2.82
Sb 0.2500 0.2500 0.7500 x4  4 W 2.82, 4 Co 2.82
W 0.0000 0.0000 0.5000 x4  4 Hg 2.82, 4 Sb 2.82

Computed properties:
Magnetic moment ... 0.150 μB per atom

=====

Of them, <i> has the lowest stability.

=====

<i>
The following is a PBE-GGA calculation of a relaxed structure of ZrCoHgSb, from OQMD.

a = 6.8126 Å, b = 6.8126 Å, c = 6.8126 Å
α = 90.00°, β = 90.00°, γ = 90.00°
With the nearest neighbours (Å) after each atom.
Space group F-43m (No. 216)
One atom of each set of equivalent atoms:
Zr 0.0000 0.0000 0.0000 x4  4 Hg 2.95, 4 Co 2.95
Co 0.2500 0.2500 0.7500 x4  4 Zr 2.95, 4 Sb 2.95
Hg 0.2500 0.2500 0.2500 x4  4 Zr 2.95, 4 Sb 2.95
Sb 0.0000 0.0000 0.5000 x4  4 Co 2.95, 4 Hg 2.95

Computed properties:
Magnetic moment ... 0.000 μB per atom

=====

<ii>
The following is a PBE-GGA calculation of a relaxed structure of ZrCoHgSb, from OQMD.

a = 6.7641 Å, b = 6.7641 Å, c = 6.7641 Å
α = 90.00°, β = 90.00°, γ = 90.00°
With the nearest neighbours (Å) after each atom.
Space group F-43m (No. 216)
One atom of each set of equivalent atoms:
Zr 0.0000 0.0000 0.0000 x4  4 Hg 2.93, 4 Sb 2.93
Co 0.0000 0.0000 0.5000 x4  4 Hg 2.93, 4 Sb 2.93
Hg 0.2500 0.2500 0.7500 x4  4 Zr 2.93, 4 Co 2.93
Sb 0.2500 0.2500 0.2500 x4  4 Zr 2.93, 4 Co 2.93

Computed properties:
Magnetic moment ... 0.018 μB per atom

=====

Of them, <i> has the lowest stability.

=====

<i>
The following is a PBE-GGA calculation of a relaxed structure of ScCoSnHg, from OQMD.

a = 6.6823 Å, b = 6.6823 Å, c = 6.6823 Å
α = 90.00°, β = 90.00°, γ = 90.00°
With the nearest neighbours (Å) after each atom.
Space group F-43m (No. 216)
One atom of each set of equivalent atoms:
Sc 0.0000 0.0000 0.0000 x4  4 Hg 2.89, 4 Co 2.89
Co 0.2500 0.2500 0.7500 x4  4 Sn 2.89, 4 Sc 2.89
Sn 0.0000 0.0000 0.5000 x4  4 Hg 2.89, 4 Co 2.89
Hg 0.2500 0.2500 0.2500 x4  4 Sn 2.89, 4 Sc 2.89

Computed properties:
Magnetic moment ... 0.135 μB per atom

=====

<ii>
The following is a PBE-GGA calculation of a relaxed structure of ScCoSnHg, from OQMD.

a = 6.6499 Å, b = 6.6499 Å, c = 6.6499 Å
α = 90.00°, β = 90.00°, γ = 90.00°
With the nearest neighbours (Å) after each atom.
Space group F-43m (No. 216)
One atom of each set of equivalent atoms:
Sc 0.0000 0.0000 0.0000 x4  4 Sn 2.88, 4 Hg 2.88
Co 0.0000 0.0000 0.5000 x4  4 Hg 2.88, 4 Sn 2.88
Sn 0.2500 0.2500 0.2500 x4  4 Co 2.88, 4 Sc 2.88
Hg 0.2500 0.2500 0.7500 x4  4 Sc 2.88, 4 Co 2.88

Computed properties:
Magnetic moment ... 0.099 μB per atom

=====

Of them, <i> has the lowest stability.

=====

<i>
The following is a PBE-GGA calculation of a relaxed structure of ZnCoSiHg, from OQMD.

a = 6.2316 Å, b = 6.2316 Å, c = 6.2316 Å
α = 90.00°, β = 90.00°, γ = 90.00°
With the nearest neighbours (Å) after each atom.
Space group F-43m (No. 216)
One atom of each set of equivalent atoms:
Zn 0.0000 0.0000 0.0000 x4  4 Hg 2.70, 4 Si 2.70
Co 0.0000 0.0000 0.5000 x4  4 Hg 2.70, 4 Si 2.70
Si 0.2500 0.2500 0.2500 x4  4 Co 2.70, 4 Zn 2.70
Hg 0.2500 0.2500 0.7500 x4  4 Co 2.70, 4 Zn 2.70

Computed properties:
Magnetic moment ... 0.015 μB per atom

=====

<ii>
The following is a PBE-GGA calculation of a relaxed structure of ZnCoSiHg, from OQMD.

a = 6.2283 Å, b = 6.2283 Å, c = 6.2283 Å
α = 90.00°, β = 90.00°, γ = 90.00°
With the nearest neighbours (Å) after each atom.
Space group F-43m (No. 216)
One atom of each set of equivalent atoms:
Zn 0.0000 0.0000 0.0000 x4  4 Hg 2.70, 4 Co 2.70
Co 0.2500 0.2500 0.7500 x4  4 Zn 2.70, 4 Si 2.70
Si 0.0000 0.0000 0.5000 x4  4 Hg 2.70, 4 Co 2.70
Hg 0.2500 0.2500 0.2500 x4  4 Si 2.70, 4 Zn 2.70

Computed properties:
Magnetic moment ... 0.067 μB per atom

=====

Of them, <ii> has the lowest stability.

=====

<i>
The following is a PBE-GGA calculation of a relaxed structure of CoSnHgW, from OQMD.

a = 6.5536 Å, b = 6.5536 Å, c = 6.5536 Å
α = 90.00°, β = 90.00°, γ = 90.00°
With the nearest neighbours (Å) after each atom.
Space group F-43m (No. 216)
One atom of each set of equivalent atoms:
Co 0.0000 0.0000 0.0000 x4  4 Sn 2.84, 4 W 2.84
Sn 0.2500 0.2500 0.7500 x4  4 Hg 2.84, 4 Co 2.84
Hg 0.0000 0.0000 0.5000 x4  4 W 2.84, 4 Sn 2.84
W 0.2500 0.2500 0.2500 x4  4 Hg 2.84, 4 Co 2.84

Computed properties:
Magnetic moment ... 0.371 μB per atom

=====

<ii>
The following is a PBE-GGA calculation of a relaxed structure of CoSnHgW, from OQMD.

a = 6.5179 Å, b = 6.5179 Å, c = 6.5179 Å
α = 90.00°, β = 90.00°, γ = 90.00°
With the nearest neighbours (Å) after each atom.
Space group F-43m (No. 216)
One atom of each set of equivalent atoms:
Co 0.0000 0.0000 0.0000 x4  4 Hg 2.82, 4 Sn 2.82
Sn 0.2500 0.2500 0.7500 x4  4 Co 2.82, 4 W 2.82
Hg 0.2500 0.2500 0.2500 x4  4 W 2.82, 4 Co 2.82
W 0.0000 0.0000 0.5000 x4  4 Hg 2.82, 4 Sn 2.82

Computed properties:
Magnetic moment ... 0.451 μB per atom

=====

Of them, <i> has the lowest stability.